(1)
CuTcNiB: relaxed, PBE.

CIF file:
```
data_CuTcNiB
_cell_length_a 3.946
_cell_length_b 3.946
_cell_length_c 3.946
_cell_angle_alpha 60.00
_cell_angle_beta 60.00
_cell_angle_gamma 60.00
_space_group_name_H-M_alt 'P 1'
_space_group_IT_number 1
loop_
_space_group_symop_operation_xyz
'x,y,z'
loop_
_atom_site_label
_atom_site_type_symbol
_atom_site_fract_x
_atom_site_fract_y
_atom_site_fract_z
Ni1 Ni 0.500 0.500 0.500
Tc1 Tc 0.250 0.250 0.250
Cu1 Cu 0.750 0.750 0.750
B1 B 0.000 0.000 0.000
```

Computed properties:
Total magnetization   0.5 Bohr magnetons per cell
E above lowest polymorph   0 meV per atom
SG   F-43m (216)

---

(2)
Ho2Mg: relaxed, PBE.

CIF file:
```
data_Ho2Mg
_cell_length_a 3.455
_cell_length_b 3.455
_cell_length_c 16.826
_cell_angle_alpha 90.00
_cell_angle_beta 90.00
_cell_angle_gamma 120.00
_space_group_name_H-M_alt 'P 1'
_space_group_IT_number 1
loop_
_space_group_symop_operation_xyz
'x,y,z'
loop_
_atom_site_label
_atom_site_type_symbol
_atom_site_fract_x
_atom_site_fract_y
_atom_site_fract_z
Ho1 Ho 0.000 0.000 0.335
Ho2 Ho 0.000 0.000 0.667
Ho3 Ho 0.000 0.000 0.998
Ho4 Ho 0.667 0.333 0.167
Mg1 Mg 0.667 0.333 0.502
Mg2 Mg 0.667 0.333 0.831
```

Computed properties:
Total magnetization   0.0 Bohr magnetons per cell
E   -3.51 eV per atom
SG   P-6m2 (187)

---

(3)
Y2Cd: relaxed, PBE.

CIF file:
```
data_Y2Cd
_cell_length_a 9.162
_cell_length_b 9.162
_cell_length_c 9.162
_cell_angle_alpha 60.00
_cell_angle_beta 60.00
_cell_angle_gamma 60.00
_space_group_name_H-M_alt 'P 1'
_space_group_IT_number 1
loop_
_space_group_symop_operation_xyz
'x,y,z'
loop_
_atom_site_label
_atom_site_type_symbol
_atom_site_fract_x
_atom_site_fract_y
_atom_site_fract_z
Cd1 Cd 0.500 0.500 0.500
Cd2 Cd 0.250 0.250 0.250
Y1 Y 0.875 0.375 0.375
Y2 Y 0.375 0.875 0.375
Y3 Y 0.375 0.375 0.875
Y4 Y 0.375 0.375 0.375
```

Computed properties:
Energy of formation   1.565 eV per atom
Total magnetization   0.0 Bohr magnetons per cell
SG   Fd-3m (227)